[1]
V3PbO: relaxed, PBE+U.

The structure in extended XYZ format:
```
5
Lattice="4.177 0.000 0.000 0.000 4.177 0.000 0.000 0.000 4.177" Properties=species:S:1:pos:R:3 pbc="T T T"
V 0.000 0.000 2.088
V 0.000 2.088 0.000
V 2.088 0.000 0.000
Pb 2.088 2.088 2.088
O 0.000 0.000 0.000
```

Properties
Its energy above the most stable polymorph in this dataset is 0.00 kJ per mole of atoms. Its calculated volume is 14.57 Å³/atom. Its density of states at the Fermi level is 3.51 states/eV/cell. The value obtained for the calculated density is 8.6 Mg/m³.

=====

[2]
V3PbO: relaxed, PBE+U.

The structure in extended XYZ format:
```
5
Lattice="5.353 0.000 0.000 0.000 5.353 0.000 0.000 0.000 5.353" Properties=species:S:1:pos:R:3 pbc="T T T"
V 0.000 0.000 2.676
V 0.000 2.676 0.000
V 2.676 0.000 0.000
Pb 0.000 0.000 0.000
O 2.676 2.676 2.676
```

Properties
Its energy above the most stable polymorph in this dataset is 146.20 kJ per mole of atoms. Its calculated volume is 30.67 Å³/atom. Its density of states at the Fermi level is 3.04 states/eV/cell. The value obtained for the calculated density is 4.1 Mg/m³.

=====

[3]
VPbO2: relaxed, PBE+U.

The structure in extended XYZ format:
```
16
Lattice="-3.307 3.307 5.745 3.307 -3.307 5.745 3.307 3.307 -5.745" Properties=species:S:1:pos:R:3 pbc="T T T"
V 0.000 0.000 0.000
V -1.654 1.654 2.872
V 0.000 3.307 0.000
V 1.654 1.654 2.872
Pb 1.654 1.654 -2.872
Pb 1.654 -1.654 2.872
Pb 3.307 0.000 0.000
Pb 0.000 0.000 5.745
O 1.984 -1.713 5.500
O 1.323 1.713 -0.244
O 3.367 0.330 2.628
O 0.060 0.330 3.117
O 3.248 2.977 2.628
O -0.060 2.977 3.117
O 1.984 1.594 5.989
O 1.323 5.021 0.244
```

Properties
As for the electronic total energy: -6.306 eV/atom. Its calculated volume is 15.71 Å³/atom. Its density of states at the Fermi level is 1.21 states/eV/cell. The value obtained for the calculated density is 7.7 Mg/m³.